(1)
Material: Li10SiP2S12
Method: DFT, GGA-PBEsol
State: relaxed

Summary:
**Theoretical density**: 1.9 g cm⁻³
**Space-group type**: P4_2mc (105)
**Distance to the lowest polymorph of the same formula**: 1.0 kJ per mole of atoms
**V**: 18.55 Å³/atom
**Uncorrected formation energy**: -1.012 eV per atom

Cell and atoms, written as POSCAR:
```
Li10SiP2S12
1.0
8.670 0.000 0.000
0.000 8.670 0.000
0.000 0.000 12.336
S Li P Si
24 20 4 2
Direct
0.703 0.500 0.897 S
0.808 0.500 0.601 S
0.701 0.500 0.197 S
0.297 0.500 0.897 S
0.500 0.192 0.101 S
0.304 0.000 0.912 S
0.500 0.808 0.101 S
0.000 0.198 0.098 S
0.299 0.500 0.197 S
0.000 0.696 0.412 S
0.500 0.701 0.697 S
0.000 0.195 0.783 S
0.696 0.000 0.912 S
0.000 0.304 0.412 S
0.805 0.000 0.283 S
0.500 0.703 0.397 S
0.198 0.000 0.598 S
0.802 0.000 0.598 S
0.192 0.500 0.601 S
0.500 0.297 0.397 S
0.195 0.000 0.283 S
0.000 0.802 0.098 S
0.000 0.805 0.783 S
0.500 0.299 0.697 S
0.257 0.726 0.034 Li
0.726 0.257 0.534 Li
0.743 0.726 0.034 Li
0.500 0.500 0.546 Li
0.767 0.273 0.293 Li
0.743 0.274 0.034 Li
0.767 0.727 0.293 Li
0.727 0.767 0.793 Li
0.233 0.273 0.293 Li
0.274 0.743 0.534 Li
0.257 0.274 0.034 Li
0.233 0.727 0.293 Li
0.000 0.000 0.444 Li
0.726 0.743 0.534 Li
0.273 0.767 0.793 Li
0.727 0.233 0.793 Li
0.273 0.233 0.793 Li
0.000 0.000 0.944 Li
0.500 0.500 0.046 Li
0.274 0.257 0.534 Li
0.500 0.000 0.006 P
0.000 0.000 0.691 P
0.000 0.000 0.191 P
0.000 0.500 0.506 P
0.500 0.500 0.297 Si
0.500 0.500 0.797 Si
```

***

(2)
Material: NiPb5
Method: DFT, GGA-PBEsol
State: relaxed

Summary:
**Theoretical density**: 11.8 g cm⁻³
**Space-group type**: P4/mmm (123)
**Energy relative to the elements**: 0.090 eV per atom
**V**: 25.69 Å³/atom

Cell and atoms, written as POSCAR:
```
NiPb5
1.0
3.355 0.000 0.000
0.000 3.355 0.000
0.000 0.000 13.697
Pb Ni
5 1
Direct
0.000 0.000 0.500 Pb
0.500 0.500 0.687 Pb
0.000 0.000 0.117 Pb
0.500 0.500 0.313 Pb
0.000 0.000 0.883 Pb
0.500 0.500 0.000 Ni
```

***

(3)
Material: Te2PbCl
Method: DFT, GGA-PBEsol
State: relaxed

Summary:
**Theoretical density**: 5.7 g cm⁻³
**Space-group type**: R-3m (166)
**Distance to the lowest polymorph of the same formula**: 24.4 kJ per mole of atoms
**V**: 36.47 Å³/atom
**Uncorrected formation energy**: -0.038 eV per atom

Cell and atoms, written as POSCAR:
```
Te2PbCl
1.0
4.370 0.000 0.000
2.185 3.785 0.000
2.185 1.262 8.821
Te Pb Cl
2 1 1
Direct
0.901 0.901 0.296 Te
0.099 0.099 0.704 Te
0.500 0.500 0.500 Pb
0.000 0.000 0.000 Cl
```

***

(4)
Material: Er11In6Ge4
Method: DFT, GGA-PBEsol
State: relaxed

Summary:
**Theoretical density**: 9.3 g cm⁻³
**Space-group type**: I4/mmm (139)
**Energy relative to the elements**: -0.701 eV per atom
**V**: 23.91 Å³/atom

Cell and atoms, written as POSCAR:
```
Er11In6Ge4
1.0
-1.422 -1.945 10.987
-7.329 -4.147 -7.441
10.410 -4.219 0.600
Ge Er In
8 22 12
Direct
0.847 0.000 0.500 Ge
0.250 0.500 0.750 Ge
0.500 0.000 0.153 Ge
0.153 0.000 0.500 Ge
0.381 0.763 0.381 Ge
0.750 0.500 0.250 Ge
0.619 0.237 0.619 Ge
0.500 0.000 0.847 Ge
0.244 0.797 0.899 Er
0.899 0.797 0.244 Er
0.564 0.628 0.314 Er
0.332 0.000 0.668 Er
0.936 0.372 0.686 Er
0.168 0.336 0.168 Er
0.899 0.797 0.553 Er
0.436 0.372 0.686 Er
0.668 0.000 0.668 Er
0.101 0.203 0.447 Er
0.668 0.000 0.332 Er
0.447 0.203 0.101 Er
0.332 0.000 0.332 Er
0.756 0.203 0.101 Er
0.064 0.628 0.314 Er
0.686 0.372 0.936 Er
0.314 0.628 0.064 Er
0.101 0.203 0.756 Er
0.553 0.797 0.899 Er
0.314 0.628 0.564 Er
0.832 0.664 0.832 Er
0.686 0.372 0.436 Er
0.965 0.342 0.377 In
0.129 0.000 0.129 In
0.871 0.000 0.129 In
0.871 0.000 0.871 In
0.965 0.342 0.965 In
0.035 0.658 0.623 In
0.129 0.000 0.871 In
0.623 0.658 0.623 In
0.035 0.658 0.035 In
0.377 0.342 0.377 In
0.377 0.342 0.965 In
0.623 0.658 0.035 In
```

***

(5)
Material: MnHgPt
Method: DFT, GGA-PBEsol
State: relaxed

Summary:
**Theoretical density**: 15.4 g cm⁻³
**Space-group type**: I4mm (107)
**Energy relative to the elements**: -0.014 eV per atom
**Distance to the lowest polymorph of the same formula**: 0.0 kJ per mole of atoms
**V**: 16.20 Å³/atom

Cell and atoms, written as POSCAR:
```
MnHgPt
1.0
-1.639 2.791 0.767
-2.689 -1.794 0.782
3.578 -0.808 3.373
Mn Pt Hg
1 1 1
Direct
0.678 0.678 0.356 Mn
0.320 0.320 0.640 Pt
0.002 0.002 0.003 Hg
```

***

(6)
Material: Tc2HgPt
Method: DFT, GGA-PBEsol
State: relaxed

Summary:
**Theoretical density**: 15.5 g cm⁻³
**Space-group type**: F-43m (216)
**Energy relative to the elements**: 0.509 eV per atom
**V**: 15.80 Å³/atom

Cell and atoms, written as POSCAR:
```
Tc2HgPt
1.0
4.471 0.000 0.000
2.235 3.872 0.000
2.235 1.291 3.650
Pt Tc Hg
1 2 1
Direct
0.250 0.250 0.250 Pt
0.750 0.750 0.750 Tc
0.000 0.000 0.000 Tc
0.500 0.500 0.500 Hg
```

***

(7)
Material: LaFeW2
Method: DFT, GGA-PBEsol
State: relaxed

Summary:
**Theoretical density**: 12.9 g cm⁻³
**Space-group type**: P4mm (99)
**Energy relative to the elements**: 0.455 eV per atom
**Distance to the lowest polymorph of the same formula**: 0.0 kJ per mole of atoms
**V**: 18.08 Å³/atom

Cell and atoms, written as POSCAR:
```
LaFeW2
1.0
-1.200 -2.376 -1.651
2.309 -1.864 1.002
-4.101 -1.961 5.803
Fe W La
1 2 1
Direct
0.000 0.000 0.436 Fe
0.500 0.500 0.260 W
0.000 0.000 0.059 W
0.500 0.500 0.745 La
```

***

(8)
Material: La3ScBeS7
Method: DFT, GGA-PBEsol
State: relaxed

Summary:
**Theoretical density**: 4.4 g cm⁻³
**Space-group type**: P6_3 (173)
**V**: 22.01 Å³/atom
**Uncorrected formation energy**: -1.938 eV per atom

Cell and atoms, written as POSCAR:
```
La3ScBeS7
1.0
-3.478 -4.800 -0.867
8.179 -5.570 -1.974
-3.418 0.767 9.463
La S Be Sc
6 14 2 2
Direct
0.255 0.607 0.858 La
0.255 0.142 0.749 La
0.755 0.858 0.251 La
0.255 0.251 0.393 La
0.755 0.749 0.607 La
0.755 0.393 0.142 La
0.723 0.084 0.851 S
0.973 0.111 0.519 S
0.494 0.333 0.667 S
0.994 0.667 0.333 S
0.473 0.889 0.481 S
0.473 0.591 0.111 S
0.723 0.149 0.233 S
0.973 0.481 0.591 S
0.223 0.851 0.767 S
0.723 0.767 0.916 S
0.223 0.916 0.149 S
0.473 0.519 0.409 S
0.223 0.233 0.084 S
0.973 0.409 0.889 S
0.846 0.333 0.667 Be
0.346 0.667 0.333 Be
0.973 0.000 0.000 Sc
0.473 0.000 0.000 Sc
```